(1)
Here is a relaxed RbSrSCl crystal from Alexandria via LeMat-Bulk. Energies are from PBE.

Cell and atoms, written as extended XYZ:
```
4
Lattice="4.395 -0.001 -0.001 -2.197 3.807 0.000 -2.198 -1.268 7.869" Properties=species:S:1:pos:R:3 pbc="T T T"
Rb 0.415 -0.278 5.036
Cl 2.613 0.990 2.591
Sr -1.782 3.529 0.715
S -1.783 0.991 7.157
```

Calculated values
- Crystal system: trigonal
- Final energy: -0.150 Ha/atom
- Energy relative to the elements, uncorrected: -1.9229 eV/atom
- SG: R3m (160)

---

(2)
Here is a relaxed Rb2TaSCl5 crystal from Alexandria via LeMat-Bulk. Energies are from PBE.

Cell and atoms, written as extended XYZ:
```
9
Lattice="-6.726 0.484 -3.040 3.096 -6.511 1.654 1.266 1.885 7.040" Properties=species:S:1:pos:R:3 pbc="T T T"
Cl 2.685 -4.548 2.971
Cl 0.978 -1.037 1.949
Cl -2.128 -0.888 0.662
Cl 1.721 -0.124 5.809
Cl -0.192 -3.300 5.079
Rb -0.722 -4.172 1.485
Rb -1.637 0.026 4.177
S 3.379 -3.582 6.733
Ta 4.279 -4.536 8.527
```

Calculated values
- Crystal system: tetragonal
- Final energy: -0.169 Ha/atom
- Energy relative to the elements, uncorrected: -1.5938 eV/atom
- SG: I4mm (107)

---

(3)
Here is a relaxed Rb2TaSCl6 crystal from Alexandria via LeMat-Bulk. Energies are from PBE.

Cell and atoms, written as extended XYZ:
```
10
Lattice="8.334 0.000 0.000 0.000 8.334 0.000 4.167 4.167 4.547" Properties=species:S:1:pos:R:3 pbc="T T T"
Ta 0.000 0.000 0.000
Cl 1.730 6.604 0.000
Cl 1.730 1.730 0.000
Cl 4.167 4.167 2.237
Cl 6.604 6.604 0.000
Cl 8.334 8.334 2.310
Cl 6.604 1.730 0.000
Rb 8.334 4.167 2.273
Rb 4.167 8.334 2.273
S 4.167 4.167 0.000
```

Calculated values
- Crystal system: tetragonal
- Final energy: -0.147 Ha/atom
- Energy relative to the elements, uncorrected: -1.1123 eV/atom
- SG: I4/mmm (139)

---

(4)
Here is a relaxed RbTcSCl2 crystal from Alexandria via LeMat-Bulk. Energies are from PBE.

Cell and atoms, written as extended XYZ:
```
5
Lattice="-0.293 3.123 -4.092 1.096 -3.967 -3.106 -4.393 -0.914 -0.383" Properties=species:S:1:pos:R:3 pbc="T T T"
Cl -0.146 1.562 -2.046
Cl 0.548 -1.984 -1.553
S -2.197 -0.457 -0.191
Tc 0.000 0.000 0.000
Rb -1.795 -0.879 -3.791
```

Calculated values
- Crystal system: tetragonal
- Final energy: -0.169 Ha/atom
- Energy relative to the elements, uncorrected: -0.7692 eV/atom
- SG: P4/mmm (123)

---

(5)
Here is a relaxed RbTcSCl2 crystal from Alexandria via LeMat-Bulk. Energies are from PBE.

Cell and atoms, written as extended XYZ:
```
5
Lattice="-3.851 -4.067 -1.119 4.107 -3.269 -2.250 0.906 -2.187 4.832" Properties=species:S:1:pos:R:3 pbc="T T T"
Cl -1.925 -2.033 -0.559
Cl 2.053 -1.635 -1.125
Rb 0.000 0.000 0.000
S 0.453 -1.094 2.416
Tc 0.581 -4.762 0.731
```

Calculated values
- Crystal system: tetragonal
- Final energy: -0.107 Ha/atom
- Energy relative to the elements, uncorrected: 0.9105 eV/atom
- SG: P4/mmm (123)

---

(6)
Here is a relaxed RbTcS2Cl crystal from Alexandria via LeMat-Bulk. Energies are from PBE.

Cell and atoms, written as extended XYZ:
```
5
Lattice="4.625 0.000 0.000 0.000 4.625 0.000 0.000 0.000 5.408" Properties=species:S:1:pos:R:3 pbc="T T T"
Rb 2.312 2.312 2.704
Tc 0.000 0.000 0.000
Cl 0.000 0.000 2.704
S 2.312 0.000 0.000
S 0.000 2.312 0.000
```

Calculated values
- Crystal system: tetragonal
- Final energy: -0.180 Ha/atom
- Energy relative to the elements, uncorrected: -0.6189 eV/atom
- SG: P4/mmm (123)

---

(7)
Here is a relaxed RbTcS2Cl crystal from Alexandria via LeMat-Bulk. Energies are from PBE.

Cell and atoms, written as extended XYZ:
```
5
Lattice="5.395 0.000 0.000 0.000 5.395 0.000 0.000 0.000 5.680" Properties=species:S:1:pos:R:3 pbc="T T T"
S 0.000 2.698 0.000
S 2.698 0.000 0.000
Rb 0.000 0.000 0.000
Cl 0.000 0.000 2.840
Tc 2.698 2.698 2.840
```

Calculated values
- Crystal system: tetragonal
- Final energy: -0.106 Ha/atom
- Energy relative to the elements, uncorrected: 1.4085 eV/atom
- SG: P4/mmm (123)

---

(8)
Here is a relaxed RbTlSCl2 crystal from Alexandria via LeMat-Bulk. Energies are from PBE.

Cell and atoms, written as extended XYZ:
```
5
Lattice="6.148 0.000 0.000 0.000 6.148 0.000 0.000 0.000 5.999" Properties=species:S:1:pos:R:3 pbc="T T T"
Cl 3.074 0.000 0.000
Cl 0.000 3.074 0.000
Rb 0.000 0.000 0.000
S 0.000 0.000 3.000
Tl 3.074 3.074 3.000
```

Calculated values
- Crystal system: tetragonal
- Final energy: -0.092 Ha/atom
- Energy relative to the elements, uncorrected: -0.2723 eV/atom
- SG: P4/mmm (123)